1.
Computed, not measured: crystalline KIn at its relaxed geometry at the PBE level of DFT.

The total energy comes out at -14.1 eV per cell. As for the density of states at the Fermi level: 0.81 states/eV/atom. As for the energy of formation from the pure elements: 0.15 eV per atom.

abc: 7.0353 7.0353 7.2034
angles: 90.00 90.00 90.00
Fractional positions:
K 0.6765 0.3235 0.0000
K 0.1765 0.1765 0.5000
K 0.8235 0.8235 0.5000
K 0.3235 0.6765 0.0000
In 0.8485 0.8485 0.0000
In 0.3485 0.6515 0.5000
In 0.6515 0.3485 0.5000
In 0.1515 0.1515 0.0000

2.
Computed, not measured: crystalline KIn2 at its relaxed geometry at the PBE level of DFT.

The total energy comes out at -14.1 eV per cell. As for the density of states at the Fermi level: 0.67 states/eV/atom. As for the energy of formation from the pure elements: -0.15 eV per atom.

abc: 5.1433 6.7062 6.7062
angles: 80.52 67.45 67.45
Fractional positions:
K 0.5671 0.1829 0.6829
K 0.4329 0.8171 0.3171
In 0.1604 0.7690 0.9103
In 0.8396 0.2310 0.0897
In 0.8396 0.5897 0.7310
In 0.1604 0.4103 0.2690

3.
Computed, not measured: crystalline KIn at its relaxed geometry at the PBE level of DFT.

The total energy comes out at -7.5 eV per cell. As for the density of states at the Fermi level: 0.57 states/eV/atom. As for the energy of formation from the pure elements: 0.05 eV per atom.

abc: 11.2102 11.2102 11.2102
angles: 22.37 22.37 22.37
Fractional positions:
In 0.0159 0.0159 0.0159
In 0.7341 0.7341 0.7341
K 0.4806 0.4806 0.4806
K 0.2694 0.2694 0.2694